(1)
## Al2TeAu (GGA-PBE)

Data for Al2TeAu after structural relaxation.

Cell: 3.7681 3.7681 6.5106 Å, 90.00 90.00 90.00°
With the nearest neighbours (Å) after each atom.
Fractional positions:
Al 0.0000 0.0000 0.0000  1 Au 2.51
Al 0.5000 0.5000 0.4174  4 Au 2.67, 1 Te 2.89
Te 0.5000 0.5000 0.8607  5 Al 2.81-2.89
Au 0.0000 0.0000 0.3849  5 Al 2.51-2.67

Output
ΔE_f (raw) = -0.16 eV/atom
Total magnetic moment = 0.0 μB/f.u.
Mass density = 6.80 Mg/m³
SG = P4mm (99)
Calculated total energy = -14.54 eV/cell

(2)
## AlTe2Au (GGA-PBE)

Data for AlTe2Au after structural relaxation.

Cell: 8.2806 8.2806 14.9007 Å, 96.42 96.42 92.94°
With the nearest neighbours (Å) after each atom.
Fractional positions:
Al 0.0559 0.7500 0.8553  4 Te 2.63-2.69
Al 0.2434 0.4485 0.6519  4 Te 2.66-2.69, 1 Au 2.80
Al 0.2500 0.9441 0.6447  4 Te 2.63-2.69
Al 0.4485 0.2434 0.1519  4 Te 2.66-2.69, 1 Au 2.80
Al 0.5515 0.7566 0.8481  4 Te 2.66-2.69, 1 Au 2.80
Al 0.7500 0.0559 0.3553  4 Te 2.63-2.69
Al 0.7566 0.5515 0.3481  4 Te 2.66-2.69, 1 Au 2.80
Al 0.9441 0.2500 0.1447  4 Te 2.63-2.69
Te 0.0119 0.5239 0.2537  2 Al 2.63-2.67
Te 0.0119 0.9881 0.7500  2 Al 2.67, 2 Au 2.94
Te 0.1751 0.1859 0.0344  1 Au 2.61, 2 Al 2.69
Te 0.1859 0.1751 0.5344  1 Au 2.61, 2 Al 2.69
Te 0.2293 0.6687 0.5337  1 Au 2.62, 2 Al 2.65-2.67
Te 0.3313 0.7707 0.9663  1 Au 2.62, 2 Al 2.65-2.67
Te 0.4662 0.5338 0.2500  2 Al 2.66, 2 Au 2.94
Te 0.4761 0.9881 0.2463  2 Al 2.63-2.67
Te 0.5239 0.0119 0.7537  2 Al 2.63-2.67
Te 0.5338 0.4662 0.7500  2 Al 2.66, 2 Au 2.94
Te 0.6687 0.2293 0.0337  1 Au 2.62, 2 Al 2.65-2.67
Te 0.7707 0.3313 0.4663  1 Au 2.62, 2 Al 2.65-2.67
Te 0.8141 0.8249 0.4656  1 Au 2.61, 2 Al 2.69
Te 0.8249 0.8141 0.9656  1 Au 2.61, 2 Al 2.69
Te 0.9881 0.0119 0.2500  2 Al 2.67, 2 Au 2.94
Te 0.9881 0.4761 0.7463  2 Al 2.63-2.67
Au 0.2562 0.2641 0.2953  1 Al 2.80, 4 Te 2.94-3.09, 1 Au 3.07
Au 0.2584 0.4631 0.9792  2 Te 2.61-2.62
Au 0.2641 0.2562 0.7953  1 Al 2.80, 4 Te 2.94-3.09, 1 Au 3.07
Au 0.4631 0.2584 0.4792  2 Te 2.61-2.62
Au 0.5369 0.7416 0.5208  2 Te 2.61-2.62
Au 0.7359 0.7438 0.2047  1 Al 2.80, 4 Te 2.94-3.09, 1 Au 3.07
Au 0.7416 0.5369 0.0208  2 Te 2.61-2.62
Au 0.7438 0.7359 0.7047  1 Al 2.80, 4 Te 2.94-3.09, 1 Au 3.07

Output
ΔE_f (raw) = -0.25 eV/atom
Total magnetic moment = 0.0 μB/f.u.
Mass density = 6.32 Mg/m³
SG = C2/c (15)
Calculated total energy = -114.54 eV/cell

(3)
## AlTeAu2 (GGA-PBE)

Data for AlTeAu2 after structural relaxation.

Cell: 8.6033 8.6033 8.6033 Å, 22.83 22.83 22.83°
With the nearest neighbours (Å) after each atom.
Fractional positions:
Al 0.0000 0.0000 0.0000  6 Au 2.62
Te 0.5000 0.5000 0.5000  6 Au 3.14, 6 Te 3.41
Au 0.2643 0.2643 0.2643  3 Al 2.62
Au 0.7357 0.7357 0.7357  3 Al 2.62

Output
ΔE_f (raw) = -0.11 eV/atom
Total magnetic moment = 0.0 μB/f.u.
Mass density = 10.83 Mg/m³
SG = R-3m (166)
Calculated total energy = -13.89 eV/cell

(4)
## AlTe2Au (GGA-PBE)

Data for AlTe2Au after structural relaxation.

Cell: 7.6535 9.3070 6.4143 Å, 90.00 90.00 90.00°
With the nearest neighbours (Å) after each atom.
Fractional positions:
Al 0.2379 0.1220 0.0000  1 Au 2.52, 3 Te 2.72-2.75
Al 0.2621 0.6220 0.5000  1 Au 2.52, 3 Te 2.72-2.75
Al 0.7379 0.3780 0.0000  1 Au 2.52, 3 Te 2.72-2.75
Al 0.7621 0.8780 0.5000  1 Au 2.52, 3 Te 2.72-2.75
Te 0.0453 0.3293 0.2006  1 Au 2.69, 2 Al 2.72-2.75
Te 0.1312 0.8964 0.2365  2 Au 2.68-2.88, 1 Al 2.72
Te 0.3688 0.3964 0.7365  2 Au 2.68-2.88, 1 Al 2.72
Te 0.4547 0.8293 0.7006  1 Au 2.69, 2 Al 2.72-2.75
Te 0.5453 0.1707 0.2006  1 Au 2.69, 2 Al 2.72-2.75
Te 0.6312 0.6036 0.2365  2 Au 2.68-2.88, 1 Al 2.72
Te 0.8688 0.1036 0.7365  2 Au 2.68-2.88, 1 Al 2.72
Te 0.9547 0.6707 0.7006  1 Au 2.69, 2 Al 2.72-2.75
Au 0.1945 0.0197 0.6405  1 Al 2.52, 2 Te 2.68-2.69
Au 0.3055 0.5197 0.1405  1 Al 2.52, 2 Te 2.68-2.69
Au 0.6945 0.4803 0.6405  1 Al 2.52, 2 Te 2.68-2.69
Au 0.8055 0.9803 0.1405  1 Al 2.52, 2 Te 2.68-2.69

Output
ΔE_f (raw) = -0.24 eV/atom
Total magnetic moment = 0.0 μB/f.u.
Mass density = 6.97 Mg/m³
SG = Pna2_1 (33)
Calculated total energy = -57.04 eV/cell

(5)
## AlTe2Au (GGA-PBE)

Data for AlTe2Au after structural relaxation.

Cell: 8.1365 8.1365 15.2415 Å, 97.17 97.17 98.93°
With the nearest neighbours (Å) after each atom.
Fractional positions:
Al 0.1460 0.6776 0.8941  1 Au 2.62, 4 Te 2.65-2.86
Al 0.2290 0.3162 0.7712  1 Au 2.56, 2 Te 2.65-2.68
Al 0.3162 0.2290 0.2712  1 Au 2.56, 2 Te 2.65-2.68
Al 0.3224 0.8540 0.6059  1 Au 2.62, 4 Te 2.65-2.86
Al 0.6776 0.1460 0.3941  1 Au 2.62, 4 Te 2.65-2.86
Al 0.6838 0.7710 0.7288  1 Au 2.56, 2 Te 2.65-2.68
Al 0.7710 0.6838 0.2288  1 Au 2.56, 2 Te 2.65-2.68
Al 0.8540 0.3224 0.1059  1 Au 2.62, 4 Te 2.65-2.86
Te 0.0066 0.9934 0.2500  2 Au 2.82, 2 Al 2.88
Te 0.0331 0.7084 0.5071  1 Al 2.65, 2 Au 2.69-2.79
Te 0.1526 0.4607 0.2068  2 Al 2.68-2.71, 1 Au 2.78
Te 0.2641 0.4137 0.9457  2 Al 2.65, 1 Au 2.66
Te 0.2916 0.9669 0.9929  1 Al 2.65, 2 Au 2.69-2.79
Te 0.3402 0.6598 0.7500  4 Al 2.86-2.87
Te 0.4137 0.2641 0.4457  2 Al 2.65, 1 Au 2.66
Te 0.4607 0.1526 0.7068  2 Al 2.68-2.71, 1 Au 2.78
Te 0.5393 0.8474 0.2932  2 Al 2.68-2.71, 1 Au 2.78
Te 0.5863 0.7359 0.5543  2 Al 2.65, 1 Au 2.66
Te 0.6598 0.3402 0.2500  4 Al 2.86-2.87
Te 0.7084 0.0331 0.0071  1 Al 2.65, 2 Au 2.69-2.79
Te 0.7359 0.5863 0.0543  2 Al 2.65, 1 Au 2.66
Te 0.8474 0.5393 0.7932  2 Al 2.68-2.71, 1 Au 2.78
Te 0.9669 0.2916 0.4929  1 Al 2.65, 2 Au 2.69-2.79
Te 0.9934 0.0066 0.7500  2 Au 2.82, 2 Al 2.88
Au 0.0028 0.1990 0.9763  1 Al 2.62, 2 Te 2.66-2.69
Au 0.0565 0.7036 0.3259  1 Al 2.56, 3 Te 2.78-2.82
Au 0.1990 0.0028 0.4763  1 Al 2.62, 2 Te 2.66-2.69
Au 0.2964 0.9435 0.1741  1 Al 2.56, 3 Te 2.78-2.82
Au 0.7036 0.0565 0.8259  1 Al 2.56, 3 Te 2.78-2.82
Au 0.8010 0.9972 0.5237  1 Al 2.62, 2 Te 2.66-2.69
Au 0.9435 0.2964 0.6741  1 Al 2.56, 3 Te 2.78-2.82
Au 0.9972 0.8010 0.0237  1 Al 2.62, 2 Te 2.66-2.69

Output
ΔE_f (raw) = -0.20 eV/atom
Total magnetic moment = 0.0 μB/f.u.
Mass density = 6.51 Mg/m³
SG = C2/c (15)
Calculated total energy = -112.86 eV/cell

(6)
## AlTeAu (GGA-PBE)

Data for AlTeAu after structural relaxation.

Cell: 5.8290 5.8290 7.7486 Å, 110.62 110.62 43.96°
With the nearest neighbours (Å) after each atom.
Fractional positions:
Al 0.1730 0.1730 0.0198  3 Au 2.55-2.56, 1 Te 2.68, 2 Al 2.83
Al 0.8270 0.8270 0.9802  3 Au 2.55-2.56, 1 Te 2.68, 2 Al 2.83
Te 0.0999 0.0999 0.3133  1 Al 2.68, 2 Au 2.84
Te 0.9001 0.9001 0.6867  1 Al 2.68, 2 Au 2.84
Au 0.4275 0.4275 0.1462  3 Al 2.55-2.56, 2 Te 2.84
Au 0.5725 0.5725 0.8538  3 Al 2.55-2.56, 2 Te 2.84

Output
ΔE_f (raw) = -0.33 eV/atom
Total magnetic moment = 0.0 μB/f.u.
Mass density = 6.91 Mg/m³
SG = C2/m (12)
Calculated total energy = -22.31 eV/cell